1.
## LaSc2Tl (GGA-PBE)

Data for a relaxed LaSc2Tl crystal.

Geometry as POSCAR:
```
LaSc2Tl
1.0
0.000 3.782 3.782
3.782 0.000 3.782
3.782 3.782 0.000
La Sc Tl
1 2 1
Cartesian
0.000 0.000 0.000
3.782 3.782 3.782
5.673 5.673 5.673
1.891 1.891 1.891
```

## Properties
The space group is F-43m. The distance to the lowest polymorph of the same formula comes out at 67 meV/atom. For the density of states at the Fermi level, the calculation gives 5.28 states/eV/cell.

***

2.
## LaSc2Tl (GGA-PBE)

Data for a relaxed LaSc2Tl crystal.

Geometry as POSCAR:
```
LaSc2Tl
1.0
-1.837 2.779 5.460
1.837 -2.779 5.460
1.837 2.779 -5.460
La Sc Tl
1 2 1
Cartesian
0.000 0.000 0.000
1.837 0.000 3.006
0.000 2.779 2.455
0.000 0.000 5.460
```

## Properties
The space group is Immm. The distance to the lowest polymorph of the same formula comes out at 14 meV/atom. For the density of states at the Fermi level, the calculation gives 5.46 states/eV/cell.

***

3.
## LaSc2Tl3 (GGA-PBE)

Data for a relaxed LaSc2Tl3 crystal.

Geometry as POSCAR:
```
LaSc2Tl3
1.0
3.670 0.000 0.000
0.000 3.670 0.000
0.000 0.000 11.531
La Sc Tl
1 2 3
Cartesian
0.000 0.000 0.000
0.000 0.000 4.007
0.000 0.000 7.524
1.835 1.835 2.244
1.835 1.835 5.766
1.835 1.835 9.287
```

## Properties
The space group is P4/mmm. For the density of states at the Fermi level, the calculation gives 4.50 states/eV/cell. The electronic total energy is -26.60 eV per cell.

***

4.
## LaSc2Tl (GGA-PBE)

Data for a relaxed LaSc2Tl crystal.

Geometry as POSCAR:
```
LaSc2Tl
1.0
3.327 -5.390 0.000
3.327 5.390 0.000
-1.403 0.000 3.037
La Sc Tl
1 2 1
Cartesian
0.000 0.000 0.000
0.962 2.695 1.518
0.962 -2.695 1.518
3.327 0.000 0.000
```

## Properties
The space group is C2/m. The distance to the lowest polymorph of the same formula comes out at 114 meV/atom. For the density of states at the Fermi level, the calculation gives 6.08 states/eV/cell.

***

5.
## La3ScTl2 (GGA-PBE)

Data for a relaxed La3ScTl2 crystal.

Geometry as POSCAR:
```
La3ScTl2
1.0
-3.394 8.444 3.361
3.394 -8.444 3.361
3.394 8.444 -3.361
La Sc Tl
6 2 4
Cartesian
1.672 2.975 0.000
0.000 0.000 1.680
1.672 -2.975 3.361
1.721 11.418 0.000
0.000 0.000 5.041
1.721 5.469 3.361
3.394 0.000 1.680
0.000 8.444 1.680
4.931 2.185 0.000
1.537 6.258 0.000
1.857 2.185 3.361
-1.537 6.258 3.361
```

## Properties
The space group is Ibam. The distance to the lowest polymorph of the same formula comes out at 0 meV/atom. For the density of states at the Fermi level, the calculation gives 16.22 states/eV/cell.

***

6.
## LaSc2Tl (GGA-PBE)

Data for a relaxed LaSc2Tl crystal.

Geometry as POSCAR:
```
LaSc2Tl
1.0
1.717 0.991 10.946
-1.717 0.991 10.946
0.000 -1.982 10.946
La Sc Tl
1 2 1
Cartesian
0.000 0.000 0.000
0.000 0.000 7.995
0.000 0.000 16.404
0.000 0.000 24.814
```

## Properties
The space group is R3m. The distance to the lowest polymorph of the same formula comes out at 103 meV/atom. For the density of states at the Fermi level, the calculation gives 5.00 states/eV/cell.

***

7.
## La2ScTl (GGA-PBE)

Data for a relaxed La2ScTl crystal.

Geometry as POSCAR:
```
La2ScTl
1.0
6.804 0.000 0.000
0.000 5.220 0.000
-1.671 0.000 6.862
La Sc Tl
4 2 2
Cartesian
0.363 1.305 2.827
-0.462 1.305 6.316
5.596 3.915 0.547
4.771 3.915 4.035
2.288 3.915 1.525
2.846 1.305 5.337
1.365 3.915 4.926
3.769 1.305 1.936
```

## Properties
The space group is P2_1/m. The distance to the lowest polymorph of the same formula comes out at 22 meV/atom. For the density of states at the Fermi level, the calculation gives 10.89 states/eV/cell.

***

8.
## La2ScTl (GGA-PBE)

Data for a relaxed La2ScTl crystal.

Geometry as POSCAR:
```
La2ScTl
1.0
3.651 0.000 0.000
0.000 5.497 0.000
0.000 0.000 5.820
La Sc Tl
2 1 1
Cartesian
0.000 0.000 0.000
1.825 2.749 0.000
0.000 2.749 2.910
1.825 0.000 2.910
```

## Properties
The space group is Pmmm. The distance to the lowest polymorph of the same formula comes out at 119 meV/atom. For the density of states at the Fermi level, the calculation gives 6.28 states/eV/cell.